Record 1
First-principles (GGA-PBE) data for an optimized crystal structure of DyAl4Ag, as listed in Alexandria.

extended XYZ file:
```
12
Lattice="-4.053 3.202 0.784 -2.776 -2.990 -2.138 1.643 -4.430 9.015" Properties=species:S:1:pos:R:3 pbc="T T T"
Al -5.995 -1.112 1.892
Al -1.458 -2.096 7.293
Al -1.377 -4.747 5.935
Al 0.809 -3.106 5.769
Al -2.018 -1.647 2.443
Al -3.168 -2.571 5.218
Al -3.809 0.529 1.726
Al -3.728 -2.122 0.369
Dy 0.000 -4.421 8.655
Dy -5.186 0.203 -0.994
Ag -1.205 -0.614 4.900
Ag -0.566 -3.710 3.439
```

## Properties
The formation energy is -0.1494 eV/atom.


Record 2
First-principles (GGA-PBE) data for an optimized crystal structure of In2TeP, as listed in Alexandria.

extended XYZ file:
```
4
Lattice="-0.673 -3.030 -6.606 -3.364 -4.971 -4.154 -4.311 -1.285 -5.748" Properties=species:S:1:pos:R:3 pbc="T T T"
Te -6.261 -6.964 -12.381
In -4.279 -4.759 -8.461
In -8.243 -9.169 -16.301
P -2.087 -2.321 -4.127
```

## Properties
The formation energy (no corrections) comes out at -153 meV/atom.


Record 3
First-principles (GGA-PBE) data for an optimized crystal structure of UAgSn, as listed in Alexandria.

extended XYZ file:
```
6
Lattice="-3.274 -1.309 0.847 -0.291 -1.422 -3.323 4.083 -8.177 3.143" Properties=species:S:1:pos:R:3 pbc="T T T"
U 0.217 -4.369 1.851
U 2.083 -5.174 0.053
Sn 0.800 -2.605 -0.934
Sn 1.500 -6.938 2.838
Ag 3.619 -8.250 1.236
Ag -1.318 -1.293 0.669
```

## Properties
The formation energy is 0.0119 eV/atom.


Record 4
First-principles (GGA-PBE) data for an optimized crystal structure of ZnTcSe2Br, as listed in Alexandria.

extended XYZ file:
```
5
Lattice="-1.165 -3.214 -3.386 4.250 -2.174 0.602 -2.171 -3.198 3.782" Properties=species:S:1:pos:R:3 pbc="T T T"
Tc 0.000 0.000 0.000
Se -0.582 -1.607 -1.693
Se 2.125 -1.087 0.301
Br -1.086 -1.599 1.891
Zn 0.457 -4.293 0.499
```

## Properties
The formation energy (no corrections) comes out at 260 meV/atom.


Record 5
First-principles (GGA-PBE) data for an optimized crystal structure of AcPm4Ho4, as listed in Alexandria.

extended XYZ file:
```
9
Lattice="5.115 0.000 0.000 2.558 7.714 0.000 2.558 0.000 7.714" Properties=species:S:1:pos:R:3 pbc="T T T"
Pm 7.673 5.140 2.576
Pm 5.115 5.138 5.140
Pm 2.558 2.574 5.138
Pm 5.115 2.576 2.574
Ho 2.558 2.621 0.001
Ho 5.115 0.001 5.093
Ho 7.673 5.093 7.713
Ho 5.115 7.713 2.621
Ac 0.000 0.000 0.000
```

## Properties
The formation energy is 0.0326 eV/atom.


Record 6
First-principles (GGA-PBE) data for an optimized crystal structure of SnBiSb2, as listed in Alexandria.

extended XYZ file:
```
4
Lattice="3.792 0.000 0.000 0.000 3.792 0.000 0.000 0.000 7.902" Properties=species:S:1:pos:R:3 pbc="T T T"
Bi 1.896 1.896 3.951
Sb 0.000 0.000 6.023
Sb 0.000 0.000 1.879
Sn 1.896 1.896 0.000
```

## Properties
The formation energy (no corrections) comes out at 165 meV/atom.


Record 7
First-principles (GGA-PBE) data for an optimized crystal structure of LaThScZn, as listed in Alexandria.

extended XYZ file:
```
4
Lattice="5.364 0.000 0.000 2.682 4.645 0.000 2.682 1.548 4.379" Properties=species:S:1:pos:R:3 pbc="T T T"
Zn 0.000 0.000 0.000
Sc 5.364 3.097 2.190
Th 8.045 4.645 3.284
La 2.682 1.548 1.095
```

## Properties
The formation energy is 0.0415 eV/atom.


Record 8
First-principles (GGA-PBE) data for an optimized crystal structure of Pa2VP, as listed in Alexandria.

extended XYZ file:
```
4
Lattice="-0.395 -1.052 -3.191 1.095 -3.066 -0.918 -7.617 -4.806 0.733" Properties=species:S:1:pos:R:3 pbc="T T T"
P -3.458 -4.462 -1.687
V 0.000 0.000 0.000
Pa -5.403 -3.838 0.140
Pa -1.513 -5.087 -3.515
```

## Properties
The formation energy is 0.1039 eV/atom.


Record 9
First-principles (GGA-PBE) data for an optimized crystal structure of AcPaTl2, as listed in Alexandria.

extended XYZ file:
```
4
Lattice="3.446 0.000 0.000 1.723 2.984 0.000 1.723 0.995 12.603" Properties=species:S:1:pos:R:3 pbc="T T T"
Tl 5.169 2.984 3.196
Tl 1.723 0.995 9.407
Ac 3.446 1.990 6.302
Pa 0.000 0.000 0.000
```

## Properties
The formation energy is 0.3678 eV/atom.


Record 10
First-principles (GGA-PBE) data for an optimized crystal structure of Sr3Mo, as listed in Alexandria.

extended XYZ file:
```
16
Lattice="-1.329 -3.011 6.915 -1.605 -4.037 -6.307 11.222 -4.661 0.127" Properties=species:S:1:pos:R:3 pbc="T T T"
Sr 7.703 -5.238 -0.800
Sr 1.433 -4.338 4.869
Sr 6.854 -7.371 -4.134
Sr -0.803 -2.018 -3.154
Sr -1.467 -3.524 0.304
Sr 6.152 -8.963 -0.479
Sr 2.135 -2.746 1.214
Sr 4.808 -4.349 -3.090
Sr 0.584 -6.471 1.535
Sr -0.665 -1.506 3.458
Sr 4.946 -3.836 3.521
Sr 4.144 -5.855 0.368
Mo 1.292 -4.860 -1.868
Mo 5.611 -2.331 0.064
Mo 0.000 0.000 0.000
Mo 6.995 -6.849 2.603
```

## Properties
The formation energy is 0.8530 eV/atom.


Record 11
First-principles (GGA-PBE) data for an optimized crystal structure of Ac4SiAs2Cl, as listed in Alexandria.

extended XYZ file:
```
8
Lattice="6.361 0.347 0.000 -0.346 6.361 0.000 -3.008 -3.354 6.425" Properties=species:S:1:pos:R:3 pbc="T T T"
Ac 2.630 2.933 3.331
Ac 5.810 3.107 0.000
Ac -0.378 -0.422 3.093
Ac 2.458 6.113 0.000
Cl 2.630 2.933 0.000
As -0.551 2.758 3.212
As 2.802 -0.249 3.212
Si 5.639 6.288 0.000
```

## Properties
The formation energy (no corrections) comes out at -1328 meV/atom.


Record 12
First-principles (GGA-PBE) data for an optimized crystal structure of ZnTcBr, as listed in Alexandria.

extended XYZ file:
```
3
Lattice="3.128 0.000 0.000 -1.564 2.709 0.000 0.000 0.000 6.389" Properties=species:S:1:pos:R:3 pbc="T T T"
Tc 0.000 1.806 2.099
Br 0.000 0.000 0.261
Zn 1.564 0.903 4.029
```

## Properties
The formation energy (no corrections) comes out at 403 meV/atom.


Per-record E_tot, eV/atom: -3.8866, -3.6597, -6.0355, -3.7965, -4.5698, -3.8668, -4.9467, -8.2762, -4.2164, -3.1161, -5.4531, -4.0351